Computed, not measured: a relaxed NdCuAu3 crystal at the GGA-PBE level of DFT.

```
10
Lattice="-4.925 3.286 -1.894 -2.434 -1.842 -5.397 -3.667 -3.797 2.949" Properties=species:S:1:pos:R:3 pbc="T T T"
Au -4.198 -0.017 -1.494
Au -3.225 -2.329 -0.160
Au -3.131 -2.216 -2.996
Au -4.104 0.096 -4.331
Au -6.032 -1.916 -0.019
Au -4.964 -4.113 -1.522
Nd -5.612 2.712 -2.838
Nd -6.642 -1.659 -3.547
Cu -6.399 0.608 -0.327
Cu -5.855 0.445 -6.058
```

## Properties
Its formation energy is -0.411 eV/atom. For the total magnetization, the calculation gives 0.0 μB per formula unit. The calculation puts the density of states at the Fermi level at 4.6 states/eV/cell.



Computed, not measured: a relaxed Nd3CuAu crystal at the GGA-PBE level of DFT.

```
10
Lattice="4.004 -0.001 -0.001 -2.004 8.186 0.562 -0.002 0.278 8.450" Properties=species:S:1:pos:R:3 pbc="T T T"
Nd 1.931 2.451 6.575
Nd 1.934 7.887 0.718
Nd 1.934 5.030 3.696
Nd -0.065 7.390 6.085
Nd -0.067 4.534 0.514
Nd -0.068 1.676 3.492
Cu -0.070 4.360 5.768
Cu 1.937 5.483 6.892
Au -0.067 7.354 2.963
Au 1.933 2.211 1.247
```

## Properties
Its formation energy is -0.348 eV/atom. For the total magnetization, the calculation gives 0.0 μB per formula unit. The calculation puts the density of states at the Fermi level at 10.4 states/eV/cell.



Computed, not measured: a relaxed Nd2CuAu crystal at the GGA-PBE level of DFT.

```
4
Lattice="-1.667 -0.604 -4.320 -0.836 -3.767 0.849 -4.591 3.384 1.299" Properties=species:S:1:pos:R:3 pbc="T T T"
Nd -5.283 -0.426 2.098
Nd -3.489 0.494 -1.247
Cu -1.743 -2.038 -1.567
Au -2.418 -1.284 1.113
```

## Properties
Its formation energy is -0.484 eV/atom. For the total magnetization, the calculation gives 0.0 μB per formula unit. The calculation puts the density of states at the Fermi level at 3.3 states/eV/cell.



Repeat the first record exactly.
Computed, not measured: a relaxed NdCuAu3 crystal at the GGA-PBE level of DFT.

```
10
Lattice="-4.925 3.286 -1.894 -2.434 -1.842 -5.397 -3.667 -3.797 2.949" Properties=species:S:1:pos:R:3 pbc="T T T"
Au -4.198 -0.017 -1.494
Au -3.225 -2.329 -0.160
Au -3.131 -2.216 -2.996
Au -4.104 0.096 -4.331
Au -6.032 -1.916 -0.019
Au -4.964 -4.113 -1.522
Nd -5.612 2.712 -2.838
Nd -6.642 -1.659 -3.547
Cu -6.399 0.608 -0.327
Cu -5.855 0.445 -6.058
```

## Properties
Its formation energy is -0.411 eV/atom. For the total magnetization, the calculation gives 0.0 μB per formula unit. The calculation puts the density of states at the Fermi level at 4.6 states/eV/cell.